1.
The following is a GGA-PBE calculation of a relaxed structure of Cs3Ca2HgCl9, from Alexandria.

extended XYZ file:
```
15
Lattice="-3.223 -0.249 6.979 5.184 -5.306 -2.034 6.923 5.464 3.393" Properties=species:S:1:pos:R:3 pbc="T T T"
Cs 6.972 0.002 3.220
Cs 0.000 0.000 0.000
Cs 1.912 -0.094 5.118
Ca 3.531 -2.713 1.534
Ca 5.353 2.622 6.804
Hg 3.462 2.732 1.696
Cl 2.775 2.545 7.740
Cl 5.379 -0.120 6.718
Cl 4.394 2.670 4.234
Cl 4.490 -2.761 4.104
Cl 3.505 0.029 1.620
Cl 6.110 -2.636 0.598
Cl -1.612 -0.125 3.490
Cl 2.592 -2.653 -1.017
Cl 0.980 -2.778 2.473
```

Summary:
Its formation energy from raw total energies is -1902 meV per atom. The value obtained for the density of states at the Fermi level is 0.00 states/eV per cell. Its calculated density is 3.4 g/cm³.

***

2.
The following is a GGA-PBE calculation of a relaxed structure of MnHgAu2, from Alexandria.

extended XYZ file:
```
4
Lattice="9.026 -0.023 -0.014 8.491 3.063 -0.014 8.491 1.473 2.685" Properties=species:S:1:pos:R:3 pbc="T T T"
Au 0.131 0.023 0.013
Au 6.560 1.138 0.670
Hg 12.911 2.240 1.319
Mn 19.409 3.368 1.984
```

Summary:
The value obtained for the density of states at the Fermi level is 1.96 states/eV per cell. Its calculated density is 14.4 g/cm³. The energy of formation comes out at 0.6 eV per formula unit.

***

3.
The following is a GGA-PBE calculation of a relaxed structure of Cd2MoW, from Alexandria.

extended XYZ file:
```
4
Lattice="-0.751 -5.271 1.431 4.421 -3.254 -0.509 -2.061 4.482 2.462" Properties=species:S:1:pos:R:3 pbc="T T T"
Cd 3.647 -8.472 0.916
Cd 2.121 -1.572 1.213
Mo 1.933 -4.489 0.486
W -0.586 -2.299 2.153
```

Summary:
The value obtained for the density of states at the Fermi level is 1.39 states/eV per cell. The calculation puts the energy above the most stable polymorph in this dataset at 225 meV per atom. Its calculated density is 11.2 g/cm³. The energy of formation comes out at 2.1 eV per formula unit.

***

4.
The following is a GGA-PBE calculation of a relaxed structure of MnCo2Ni6, from Alexandria.

extended XYZ file:
```
9
Lattice="4.166 0.000 0.000 -2.083 3.792 -0.827 0.000 -2.452 6.930" Properties=species:S:1:pos:R:3 pbc="T T T"
Mn 0.000 -1.226 3.465
Co 2.083 -0.776 5.518
Co 0.000 2.115 0.584
Ni 2.083 1.743 4.946
Ni 2.083 0.853 0.881
Ni 0.000 0.486 5.221
Ni 2.083 0.011 3.195
Ni 0.000 1.328 2.907
Ni 0.000 -0.404 1.157
```

Summary:
The value obtained for the density of states at the Fermi level is 13.96 states/eV per cell. The calculation puts the energy above the most stable polymorph in this dataset at 0 meV per atom. Its calculated density is 8.6 g/cm³. The energy of formation comes out at 0.6 eV per formula unit.

***

5.
The following is a GGA-PBE calculation of a relaxed structure of ZnFe2Mo, from Alexandria.

extended XYZ file:
```
4
Lattice="-2.362 -0.545 -0.910 1.400 -2.124 -0.483 -2.120 -3.065 7.341" Properties=species:S:1:pos:R:3 pbc="T T T"
Fe -2.108 -3.049 7.302
Fe -1.071 -1.549 3.709
Mo -1.011 -2.101 1.139
Zn -2.071 -3.633 4.810
```

Summary:
The value obtained for the density of states at the Fermi level is 2.45 states/eV per cell. Its calculated density is 8.5 g/cm³. The energy of formation comes out at 0.3 eV per formula unit.

***

6.
The following is a GGA-PBE calculation of a relaxed structure of La2Y2Ru, from Alexandria.

extended XYZ file:
```
10
Lattice="7.163 0.000 0.000 0.000 7.163 0.000 0.000 0.000 5.951" Properties=species:S:1:pos:R:3 pbc="T T T"
Y 2.405 5.987 0.000
Y 5.987 4.758 0.000
Y 4.758 1.176 0.000
Y 1.176 2.405 0.000
Ru 0.000 0.000 0.000
Ru 3.582 3.582 0.000
La 1.200 4.781 2.975
La 4.781 5.963 2.975
La 5.963 2.382 2.975
La 2.382 1.200 2.975
```

Summary:
The value obtained for the density of states at the Fermi level is 10.43 states/eV per cell. The calculation puts the energy above the most stable polymorph in this dataset at 195 meV per atom. Its calculated density is 6.1 g/cm³. The energy of formation comes out at 0.2 eV per formula unit.